Entry 1:
An optimized crystal structure of TmGaCu. Source: OQMD, functional PBE.

a b c (Å): 4.452 4.452 4.452
angles (deg): 60.00 60.00 60.00
Atoms (fractional coordinates):
Tm1 0.000 0.000 0.000
Ga1 0.750 0.750 0.750
Cu1 0.500 0.500 0.500

Symmetry: F-43m, No. 216
Total energy, eV per atom: -3.850

Entry 2:
An optimized crystal structure of YTmGa2Cu4. Source: OQMD, functional PBE.

a b c (Å): 4.261 4.261 8.622
angles (deg): 90.00 90.00 120.00
Atoms (fractional coordinates):
Y1 0.000 0.000 0.000
Tm1 0.667 0.333 0.500
Ga1 0.333 0.667 0.251
Ga2 0.333 0.667 0.749
Cu1 0.000 0.000 0.335
Cu2 0.000 0.000 0.665
Cu3 0.667 0.333 0.176
Cu4 0.667 0.333 0.824

Symmetry: P-6m2, No. 187
Total energy, eV per atom: -4.358

Entry 3:
An optimized crystal structure of YTmGa2Cu2. Source: OQMD, functional PBE.

a b c (Å): 4.345 4.345 6.955
angles (deg): 90.00 90.00 120.00
Atoms (fractional coordinates):
Y1 0.000 0.000 0.000
Tm1 0.000 0.000 0.500
Ga1 0.333 0.667 0.270
Ga2 0.333 0.667 0.730
Cu1 0.667 0.333 0.254
Cu2 0.667 0.333 0.746

Symmetry: P-6m2, No. 187
Distance to the lowest polymorph of the same formula, meV/atom: 0
Total energy, eV per atom: -4.594

Entry 4:
An optimized crystal structure of YTmGa4Cu2. Source: OQMD, functional PBE.

a b c (Å): 6.535 5.472 5.472
angles (deg): 46.26 90.00 90.00
Atoms (fractional coordinates):
Y1 0.000 0.000 0.000
Tm1 0.500 0.824 0.824
Ga1 0.199 0.286 0.286
Ga2 0.303 0.540 0.540
Ga3 0.697 0.540 0.540
Ga4 0.801 0.286 0.286
Cu1 0.000 0.710 0.710
Cu2 0.500 0.115 0.115

Symmetry: Amm2, No. 38
Total energy, eV per atom: -4.313

Entry 5:
An optimized crystal structure of TmZrGa2Cu2. Source: OQMD, functional PBE.

a b c (Å): 4.289 4.289 6.698
angles (deg): 90.00 90.00 120.00
Atoms (fractional coordinates):
Tm1 0.000 0.000 0.000
Zr1 0.000 0.000 0.500
Ga1 0.333 0.667 0.267
Ga2 0.333 0.667 0.733
Cu1 0.667 0.333 0.284
Cu2 0.667 0.333 0.716

Symmetry: P-6m2, No. 187
Total energy, eV per atom: -4.897

Entry 6:
An optimized crystal structure of TmZrGa2Cu2. Source: OQMD, functional PBE.

a b c (Å): 4.289 4.289 6.675
angles (deg): 90.00 90.00 120.00
Atoms (fractional coordinates):
Tm1 0.000 0.000 0.000
Zr1 0.000 0.000 0.500
Ga1 0.333 0.667 0.276
Ga2 0.333 0.667 0.724
Cu1 0.667 0.333 0.265
Cu2 0.667 0.333 0.735

Symmetry: P-6m2, No. 187
Total energy, eV per atom: -4.896

Entry 7:
An optimized crystal structure of UGaCu. Source: OQMD, functional PBE.

a b c (Å): 4.803 4.803 5.843
angles (deg): 90.00 90.00 120.00
Atoms (fractional coordinates):
U1 0.333 0.667 0.250
U2 0.667 0.333 0.750
Ga1 0.333 0.667 0.750
Ga2 0.667 0.333 0.250
Cu1 0.000 0.000 0.000
Cu2 0.000 0.000 0.500

Symmetry: P6_3/mmc, No. 194
Total energy, eV per atom: -5.639

Entry 8:
An optimized crystal structure of U2Ga8Cu. Source: OQMD, functional PBE.

a b c (Å): 4.281 4.281 11.090
angles (deg): 90.00 90.00 90.00
Atoms (fractional coordinates):
U1 0.000 0.000 0.190
U2 0.000 0.000 0.810
Ga1 0.000 0.500 0.000
Ga2 0.000 0.500 0.375
Ga3 0.000 0.500 0.625
Ga4 0.500 0.000 0.000
Ga5 0.500 0.000 0.375
Ga6 0.500 0.000 0.625
Ga7 0.500 0.500 0.191
Ga8 0.500 0.500 0.809
Cu1 0.000 0.000 0.500

Symmetry: P4/mmm, No. 123
Total energy, eV per atom: -4.796

Entry 9:
An optimized crystal structure of UGaCu. Source: OQMD, functional PBE.

a b c (Å): 4.423 4.423 4.423
angles (deg): 60.00 60.00 60.00
Atoms (fractional coordinates):
U1 0.000 0.000 0.000
Ga1 0.500 0.500 0.500
Cu1 0.750 0.750 0.750

Symmetry: F-43m, No. 216
Total energy, eV per atom: -5.764

Entry 10:
An optimized crystal structure of UGaCu. Source: OQMD, functional PBE.

a b c (Å): 4.627 4.627 4.627
angles (deg): 60.00 60.00 60.00
Atoms (fractional coordinates):
U1 0.000 0.000 0.000
Ga1 0.250 0.250 0.250
Cu1 0.750 0.750 0.750

Symmetry: F-43m, No. 216
Total energy, eV per atom: -5.095